[1]
VASP calculation (PBE-GGA) on PmTh3Pt3 after structural relaxation.

a = 12.7006 Å, b = 4.0875 Å, c = 14.4402 Å
α = 90.00°, β = 90.00°, γ = 90.00°
Fractional coordinates of all 28 atoms:
Pm 0.0128 0.2500 0.1868
Pm 0.4872 0.7500 0.6868
Pm 0.5128 0.2500 0.3132
Pm 0.9872 0.7500 0.8132
Th 0.0426 0.2500 0.6067
Th 0.1866 0.7500 0.0348
Th 0.2458 0.7500 0.3072
Th 0.2542 0.2500 0.8072
Th 0.3134 0.2500 0.5348
Th 0.4574 0.7500 0.1067
Th 0.5426 0.2500 0.8933
Th 0.6866 0.7500 0.4652
Th 0.7458 0.7500 0.1928
Th 0.7542 0.2500 0.6928
Th 0.8134 0.2500 0.9652
Th 0.9574 0.7500 0.3933
Pt 0.0648 0.2500 0.9429
Pt 0.1210 0.2500 0.4095
Pt 0.2026 0.7500 0.6686
Pt 0.2974 0.2500 0.1686
Pt 0.3790 0.7500 0.9095
Pt 0.4352 0.7500 0.4429
Pt 0.5648 0.2500 0.5571
Pt 0.6210 0.2500 0.0905
Pt 0.7026 0.7500 0.8314
Pt 0.7974 0.2500 0.3314
Pt 0.8790 0.7500 0.5905
Pt 0.9352 0.7500 0.0571

**Formation energy from the elements**: -1.014 eV/atom
**Calculated total energy**: -7.46 eV per atom
**Volume**: 26.77 Å³ per atom
**Space-group type**: No. 62

=====

[2]
VASP calculation (PBE-GGA) on Pm2Th2Pt15 after structural relaxation.

a = 7.1802 Å, b = 7.1802 Å, c = 7.1802 Å
α = 82.03°, β = 82.03°, γ = 82.03°
Fractional coordinates of all 19 atoms:
Pm 0.1360 0.1360 0.1360
Pm 0.8640 0.8640 0.8640
Th 0.3911 0.3911 0.3911
Th 0.6089 0.6089 0.6089
Pt 0.0000 0.5000 0.5000
Pt 0.1518 0.1518 0.6626
Pt 0.1518 0.6626 0.1518
Pt 0.1859 0.5000 0.8141
Pt 0.1859 0.8141 0.5000
Pt 0.3374 0.8482 0.8482
Pt 0.5000 0.0000 0.5000
Pt 0.5000 0.1859 0.8141
Pt 0.5000 0.5000 0.0000
Pt 0.5000 0.8141 0.1859
Pt 0.6626 0.1518 0.1518
Pt 0.8141 0.1859 0.5000
Pt 0.8141 0.5000 0.1859
Pt 0.8482 0.3374 0.8482
Pt 0.8482 0.8482 0.3374

**Formation energy from the elements**: -0.712 eV/atom
**Calculated total energy**: -6.76 eV per atom
**Volume**: 18.97 Å³ per atom
**Space-group type**: No. 166

=====

[3]
VASP calculation (PBE-GGA) on PmTh5Pt6 after structural relaxation.

a = 7.1863 Å, b = 7.1863 Å, c = 7.3497 Å
α = 99.27°, β = 99.27°, γ = 119.53°
Fractional coordinates of all 12 atoms:
Pm 0.0000 0.0000 0.0000
Th 0.1671 0.8329 0.5000
Th 0.3331 0.6669 0.0000
Th 0.5000 0.5000 0.5000
Th 0.6669 0.3331 0.0000
Th 0.8329 0.1671 0.5000
Pt 0.0845 0.4210 0.2524
Pt 0.2528 0.2528 0.7473
Pt 0.4210 0.0845 0.2524
Pt 0.5790 0.9155 0.7476
Pt 0.7472 0.7472 0.2527
Pt 0.9155 0.5790 0.7476

**Formation energy from the elements**: -1.190 eV/atom
**Calculated total energy**: -7.70 eV per atom
**Volume**: 26.07 Å³ per atom
**Space-group type**: No. 12

=====

[4]
VASP calculation (PBE-GGA) on PmThPt3 after structural relaxation.

a = 7.2546 Å, b = 7.9692 Å, c = 7.7856 Å
α = 90.00°, β = 90.00°, γ = 90.00°
Fractional coordinates of all 20 atoms:
Pm 0.2079 0.1345 0.0000
Pm 0.2921 0.6345 0.5000
Pm 0.7079 0.3655 0.5000
Pm 0.7921 0.8655 0.0000
Th 0.2197 0.1386 0.5000
Th 0.2803 0.6386 0.0000
Th 0.7197 0.3614 0.0000
Th 0.7803 0.8614 0.5000
Pt 0.0000 0.5000 0.2471
Pt 0.0000 0.5000 0.7529
Pt 0.1129 0.8547 0.2562
Pt 0.1129 0.8547 0.7438
Pt 0.3871 0.3547 0.2438
Pt 0.3871 0.3547 0.7562
Pt 0.5000 0.0000 0.2529
Pt 0.5000 0.0000 0.7471
Pt 0.6129 0.6453 0.2438
Pt 0.6129 0.6453 0.7562
Pt 0.8871 0.1453 0.2562
Pt 0.8871 0.1453 0.7438

**Formation energy from the elements**: -1.141 eV/atom
**Calculated total energy**: -7.20 eV per atom
**Volume**: 22.51 Å³ per atom
**Space-group type**: No. 58

=====

[5]
VASP calculation (PBE-GGA) on Pm2Th2Pt3 after structural relaxation.

a = 9.3518 Å, b = 9.3518 Å, c = 13.0270 Å
α = 127.50°, β = 127.50°, γ = 25.39°
Fractional coordinates of all 14 atoms:
Pm 0.0209 0.0209 0.3526
Pm 0.2968 0.2968 0.2166
Pm 0.7032 0.7032 0.7834
Pm 0.9791 0.9791 0.6474
Th 0.3040 0.3040 0.6658
Th 0.4187 0.4187 0.0473
Th 0.5813 0.5813 0.9527
Th 0.6960 0.6960 0.3342
Pt 0.0768 0.0768 0.1425
Pt 0.1772 0.1772 0.9125
Pt 0.3439 0.3439 0.4810
Pt 0.6561 0.6561 0.5190
Pt 0.8228 0.8228 0.0875
Pt 0.9232 0.9232 0.8575

**Formation energy from the elements**: -0.976 eV/atom
**Calculated total energy**: -7.04 eV per atom
**Volume**: 27.27 Å³ per atom
**Space-group type**: No. 12

=====

[6]
VASP calculation (PBE-GGA) on PmThPt after structural relaxation.

a = 7.3311 Å, b = 7.3311 Å, c = 5.7596 Å
α = 98.45°, β = 98.45°, γ = 34.44°
Fractional coordinates of all 6 atoms:
Pm 0.0774 0.0774 0.2740
Pm 0.9226 0.9226 0.7260
Th 0.3479 0.3479 0.1914
Th 0.6521 0.6521 0.8086
Pt 0.2726 0.2726 0.6783
Pt 0.7274 0.7274 0.3217

**Formation energy from the elements**: -0.725 eV/atom
**Calculated total energy**: -6.80 eV per atom
**Volume**: 28.83 Å³ per atom
**Space-group type**: No. 12
**Energy relative to the lowest polymorph listed for this composition**: 56 meV/atom

=====

[7]
VASP calculation (PBE-GGA) on PmThPt after structural relaxation.

a = 6.3212 Å, b = 7.5515 Å, c = 7.3585 Å
α = 90.00°, β = 90.00°, γ = 90.00°
Fractional coordinates of all 12 atoms:
Pm 0.1055 0.1026 0.2500
Pm 0.1055 0.3974 0.7500
Pm 0.8945 0.6026 0.2500
Pm 0.8945 0.8974 0.7500
Th 0.4085 0.7500 0.0000
Th 0.4085 0.7500 0.5000
Th 0.5915 0.2500 0.0000
Th 0.5915 0.2500 0.5000
Pt 0.3307 0.0459 0.7500
Pt 0.3307 0.4541 0.2500
Pt 0.6693 0.5459 0.7500
Pt 0.6693 0.9541 0.2500

**Formation energy from the elements**: -0.781 eV/atom
**Calculated total energy**: -6.85 eV per atom
**Volume**: 29.27 Å³ per atom
**Space-group type**: No. 57
**Energy relative to the lowest polymorph listed for this composition**: 0 meV/atom

=====

[8]
VASP calculation (PBE-GGA) on PmThPt6 after structural relaxation.

a = 4.2116 Å, b = 4.2116 Å, c = 8.3977 Å
α = 90.00°, β = 90.00°, γ = 90.00°
Fractional coordinates of all 8 atoms:
Pm 0.0000 0.0000 0.0000
Th 0.0000 0.0000 0.5000
Pt 0.0000 0.5000 0.2507
Pt 0.0000 0.5000 0.7493
Pt 0.5000 0.0000 0.2507
Pt 0.5000 0.0000 0.7493
Pt 0.5000 0.5000 0.0000
Pt 0.5000 0.5000 0.5000

**Formation energy from the elements**: -1.042 eV/atom
**Calculated total energy**: -7.09 eV per atom
**Volume**: 18.62 Å³ per atom
**Space-group type**: No. 123

=====

[9]
VASP calculation (PBE-GGA) on PmThPt10 after structural relaxation.

a = 4.4537 Å, b = 5.4188 Å, c = 9.3350 Å
α = 90.00°, β = 90.00°, γ = 90.00°
Fractional coordinates of all 12 atoms:
Pm 0.0000 0.0000 0.0000
Th 0.0000 0.5000 0.5000
Pt 0.0000 0.0000 0.3336
Pt 0.0000 0.0000 0.6664
Pt 0.0000 0.5000 0.1680
Pt 0.0000 0.5000 0.8320
Pt 0.5000 0.0000 0.5000
Pt 0.5000 0.2518 0.2518
Pt 0.5000 0.2518 0.7482
Pt 0.5000 0.5000 0.0000
Pt 0.5000 0.7482 0.2518
Pt 0.5000 0.7482 0.7482

**Formation energy from the elements**: -0.763 eV/atom
**Calculated total energy**: -6.81 eV per atom
**Volume**: 18.77 Å³ per atom
**Space-group type**: No. 47

=====

[10]
VASP calculation (PBE-GGA) on PmThTlPt after structural relaxation.

a = 5.3005 Å, b = 5.3005 Å, c = 5.3005 Å
α = 60.00°, β = 60.00°, γ = 60.00°
Fractional coordinates of all 4 atoms:
Pm 0.0000 0.0000 0.0000
Th 0.5000 0.5000 0.5000
Tl 0.2500 0.2500 0.2500
Pt 0.7500 0.7500 0.7500

**Formation energy from the elements**: -0.508 eV/atom
**Calculated total energy**: -5.65 eV per atom
**Volume**: 26.32 Å³ per atom
**Space-group type**: No. 216

=====

[11]
VASP calculation (PBE-GGA) on PmTiPt4 after structural relaxation.

a = 5.3792 Å, b = 5.3792 Å, c = 5.3792 Å
α = 60.00°, β = 60.00°, γ = 60.00°
Fractional coordinates of all 6 atoms:
Pm 0.0000 0.0000 0.0000
Ti 0.7500 0.7500 0.7500
Pt 0.3756 0.3756 0.3756
Pt 0.3756 0.3756 0.8732
Pt 0.3756 0.8732 0.3756
Pt 0.8732 0.3756 0.3756

**Formation energy from the elements**: -0.740 eV/atom
**Calculated total energy**: -6.87 eV per atom
**Volume**: 18.34 Å³ per atom
**Space-group type**: No. 216

=====

[12]
VASP calculation (PBE-GGA) on PmTiZnPt2 after structural relaxation.

a = 6.6837 Å, b = 6.6837 Å, c = 6.6837 Å
α = 145.02°, β = 145.02°, γ = 50.30°
Fractional coordinates of all 5 atoms:
Pm 0.0000 0.0000 0.0000
Ti 0.2500 0.7500 0.5000
Zn 0.7500 0.2500 0.5000
Pt 0.3880 0.3880 0.0000
Pt 0.6120 0.6120 0.0000

**Formation energy from the elements**: -0.859 eV/atom
**Calculated total energy**: -6.06 eV per atom
**Volume**: 19.53 Å³ per atom
**Space-group type**: No. 119

=====

Please write out number 10 again, unchanged.
VASP calculation (PBE-GGA) on PmThTlPt after structural relaxation.

a = 5.3005 Å, b = 5.3005 Å, c = 5.3005 Å
α = 60.00°, β = 60.00°, γ = 60.00°
Fractional coordinates of all 4 atoms:
Pm 0.0000 0.0000 0.0000
Th 0.5000 0.5000 0.5000
Tl 0.2500 0.2500 0.2500
Pt 0.7500 0.7500 0.7500

**Formation energy from the elements**: -0.508 eV/atom
**Calculated total energy**: -5.65 eV per atom
**Volume**: 26.32 Å³ per atom
**Space-group type**: No. 216

=====

Question: Which value of formation energy from the elements does entry 7 give?
Answer: -0.781 eV/atom

=====

Question: The highest formation energy from the elements belongs to which entry?
Answer: PmThTlPt

=====

Question: Which formula does entry 4 have?
Answer: PmThPt3